Entry from the Alexandria database: CdRe2Hg at its PBEsol-relaxed geometry (meta-GGA SCAN).

a = 9.181 Å, b = 2.820 Å, c = 5.234 Å
α = 90.00°, β = 97.37°, γ = 90.00°
Space group Cm (No. 8)
One atom of each set of equivalent atoms:
Cd  0.000  0.000  0.000 (multiplicity 2)
Re  0.252  0.500  0.296 (multiplicity 2)
Re  0.494  0.000  0.472 (multiplicity 2)
Hg  0.245  0.000  0.772 (multiplicity 2)

Values from the calculation:
Crystal system = monoclinic
Formation energy = 0.7292 eV per atom
Distance to the lowest polymorph of the same formula = 0.000 eV/f.u.
Mass density = 16.9 g/cm3